{
  "formula": "MnIrCF2",
  "functional": "PBE+U",
  "state": "relaxed",
  "dos_at_fermi_per_ev_atom": 0.604,
  "total_magnetization_mub_per_cell": 3.63,
  "energy_ev_per_atom": -5.60,
  "vol_a3_per_cell": 74,
  "lattice_angstrom": [[3.544, 0.000, 0.000], [0.000, 3.544, 0.000], [0.000, 0.000, 5.887]],
  "species": ["Mn", "Ir", "C", "F", "F"],
  "frac_coords": [[0.000, 0.000, 0.000], [0.500, 0.500, 0.500], [0.000, 0.000, 0.500], [0.000, 0.500, 0.000], [0.500, 0.000, 0.000]]
}